1.
A plane-wave DFT calculation with PBE was carried out for crystalline AcHoTl6 at its relaxed geometry.

```
AcHoTl6
1.0
4.898 0.000 0.000
0.000 4.898 0.000
0.000 0.000 9.736
Tl Ac Ho
6 1 1
Cartesian
0.000 2.449 7.180
2.449 0.000 7.180
0.000 2.449 2.556
2.449 2.449 4.868
2.449 0.000 2.556
2.449 2.449 0.000
0.000 0.000 0.000
0.000 0.000 4.868
```

2.
A plane-wave DFT calculation with PBE was carried out for crystalline AcHo2Tl9 at its relaxed geometry.

```
AcHo2Tl9
1.0
4.855 0.000 0.000
0.000 4.855 0.000
0.000 0.000 14.485
Tl Ho Ac
9 2 1
Cartesian
2.427 0.000 11.904
2.427 2.427 9.597
0.000 2.427 7.242
2.427 0.000 2.581
2.427 2.427 4.888
0.000 2.427 11.904
2.427 0.000 7.242
2.427 2.427 0.000
0.000 2.427 2.581
0.000 0.000 4.942
0.000 0.000 9.543
0.000 0.000 0.000
```

3.
A plane-wave DFT calculation with PBE was carried out for crystalline Ac4HoTl5 at its relaxed geometry.

```
Ac4HoTl5
1.0
-2.290 3.187 -0.605
-3.244 -2.264 0.352
-0.336 3.730 20.920
Ac Ho Tl
4 1 5
Cartesian
-0.203 2.256 12.653
-0.273 3.033 17.009
-0.063 0.697 3.911
-0.133 1.474 8.267
0.000 0.000 0.000
-2.794 0.765 1.576
-3.075 3.888 19.090
-2.935 2.327 10.333
-3.005 3.110 14.727
-2.864 1.543 5.939
```

4.
A plane-wave DFT calculation with PBE was carried out for crystalline AcHo2Tl3 at its relaxed geometry.

```
AcHo2Tl3
1.0
3.858 0.000 0.000
0.000 3.858 0.000
0.000 0.000 11.917
Ho Tl Ac
2 3 1
Cartesian
1.929 1.929 1.854
1.929 1.929 10.064
0.000 0.000 0.000
0.000 0.000 3.655
0.000 0.000 8.263
1.929 1.929 5.959
```

5.
A plane-wave DFT calculation with PBE was carried out for crystalline Ac3Ho2Tl7 at its relaxed geometry.

```
Ac3Ho2Tl7
1.0
-3.676 -4.648 -0.727
3.496 -3.248 3.088
-7.630 4.725 8.378
Tl Ac Ho
7 3 2
Cartesian
-4.918 -1.403 9.324
-4.935 2.602 8.324
-0.983 -0.184 6.151
-3.151 1.661 5.315
-2.893 -1.768 1.416
0.800 -1.124 3.142
0.000 0.000 0.000
-5.686 -0.295 6.127
-2.125 -2.875 4.612
-0.090 -3.948 1.180
-2.518 0.625 8.740
-1.616 0.852 2.726
```

6.
A plane-wave DFT calculation with PBE was carried out for crystalline Ac3Ho2Tl4 at its relaxed geometry.

```
Ac3Ho2Tl4
1.0
-1.446 -4.435 2.086
2.313 -5.467 -3.760
7.687 -3.168 4.851
Tl Ac Ho
4 3 2
Cartesian
3.546 -9.457 1.128
7.874 -9.695 3.623
5.009 -3.613 2.049
0.680 -3.375 -0.445
6.142 -7.004 1.885
0.000 0.000 0.000
2.412 -6.066 1.292
4.239 -7.924 -1.391
4.315 -5.146 4.569
```

## Properties
Offset from the most stable computed form, meV per atom: 0

7.
A plane-wave DFT calculation with PBE was carried out for crystalline AcHoTl2 at its relaxed geometry.

```
AcHoTl2
1.0
3.901 0.000 0.000
0.000 3.901 0.000
0.000 0.000 8.114
Tl Ho Ac
2 1 1
Cartesian
0.000 0.000 1.793
0.000 0.000 6.321
1.951 1.951 0.000
1.951 1.951 4.057
```

8.
A plane-wave DFT calculation with PBE was carried out for crystalline Ac2HoTl at its relaxed geometry.

```
Ac2HoTl
1.0
5.894 0.000 0.000
2.947 5.104 0.000
2.947 1.701 4.812
Tl Ac Ho
1 2 1
Cartesian
5.894 3.403 2.406
8.840 5.104 3.609
2.947 1.701 1.203
0.000 0.000 0.000
```

## Properties
Offset from the most stable computed form, meV per atom: 75

9.
A plane-wave DFT calculation with PBE was carried out for crystalline AcHo5Tl3 at its relaxed geometry.

```
AcHo5Tl3
1.0
-0.032 -0.822 6.797
5.813 -7.431 -0.872
3.572 8.709 1.070
Ac Tl Ho
2 6 10
Cartesian
-0.016 -0.411 3.398
0.000 0.000 0.000
1.214 2.773 2.065
3.186 -0.179 5.166
6.167 0.635 1.830
1.981 -2.747 1.401
8.139 -2.317 4.930
3.801 -5.506 4.524
4.303 2.918 3.821
6.224 0.235 5.230
3.862 -5.152 1.119
1.919 -3.101 4.806
4.319 3.329 0.423
2.370 5.592 2.412
5.051 -2.462 3.174
6.983 -5.136 4.584
5.066 -2.050 -0.224
3.130 0.221 1.766
```

10.
A plane-wave DFT calculation with PBE was carried out for crystalline AcHo3Tl3 at its relaxed geometry.

```
AcHo3Tl3
1.0
-5.252 0.694 -0.115
-1.210 -8.395 4.645
0.974 8.207 5.021
Tl Ac Ho
6 2 6
Cartesian
-1.335 0.664 3.927
-4.407 -2.631 2.310
-1.080 3.137 7.240
-0.786 4.739 3.432
-4.153 -0.158 5.623
-4.702 -4.233 6.118
-3.693 3.193 4.809
-1.795 -2.687 4.741
-4.871 -5.939 3.534
-4.394 -1.520 8.399
-1.490 0.068 7.432
-1.094 2.026 1.151
-0.617 6.445 6.017
-3.998 0.438 2.119
```

11.
A plane-wave DFT calculation with PBE was carried out for crystalline AcHo2Tl at its relaxed geometry.

```
AcHo2Tl
1.0
-1.365 4.387 1.961
-0.419 -2.161 4.543
4.838 1.077 0.958
Tl Ho Ac
1 2 1
Cartesian
-0.683 2.193 0.980
-0.209 -1.080 2.271
2.419 0.539 0.479
1.527 1.652 3.731
```

## Properties
Offset from the most stable computed form, meV per atom: 50

12.
A plane-wave DFT calculation with PBE was carried out for crystalline AcHo7Tl4 at its relaxed geometry.

```
AcHo7Tl4
1.0
5.871 0.000 0.000
2.935 8.817 0.602
2.935 0.760 7.222
Tl Ho Ac
4 7 1
Cartesian
2.935 2.964 0.528
5.871 2.645 4.704
5.871 6.933 3.119
8.806 6.613 7.295
5.871 6.350 6.059
8.806 4.052 5.485
8.806 8.159 4.460
2.935 5.526 2.339
5.871 3.228 1.764
2.935 0.000 0.000
2.935 1.419 3.364
0.000 0.000 0.000
```

13.
A plane-wave DFT calculation with PBE was carried out for crystalline AcHoTl2 at its relaxed geometry.

```
AcHoTl2
1.0
4.454 0.000 0.000
0.000 5.322 0.000
0.000 0.000 5.322
Ho Tl Ac
1 2 1
Cartesian
2.227 2.661 2.661
0.000 0.000 2.661
0.000 2.661 0.000
2.227 0.000 0.000
```

14.
A plane-wave DFT calculation with PBE was carried out for crystalline Ac2HoTl at its relaxed geometry.

```
Ac2HoTl
1.0
-2.804 -2.353 1.357
-0.172 -3.717 -1.183
5.812 -5.110 8.770
Ho Tl Ac
1 1 2
Cartesian
1.417 -5.589 4.471
-1.984 -4.046 0.116
0.644 -2.765 2.152
4.178 -4.368 6.677
```

## Properties
Offset from the most stable computed form, meV per atom: 60

15.
A plane-wave DFT calculation with PBE was carried out for crystalline AcHo2Tl at its relaxed geometry.

```
AcHo2Tl
1.0
5.612 0.000 0.000
2.806 4.861 0.000
2.806 1.620 4.583
Ho Tl Ac
2 1 1
Cartesian
2.806 1.620 1.146
8.419 4.861 3.437
5.612 3.240 2.291
0.000 0.000 0.000
```

## Properties
Offset from the most stable computed form, meV per atom: 214

16.
A plane-wave DFT calculation with PBE was carried out for crystalline Ac3HoTl4 at its relaxed geometry.

```
Ac3HoTl4
1.0
4.838 0.000 0.000
0.000 7.778 -0.912
-2.419 -2.958 8.363
Ac Tl Ho
3 4 1
Cartesian
0.000 3.889 -0.456
0.000 0.349 2.981
2.419 4.471 4.470
0.000 -0.867 6.160
2.419 5.688 1.291
2.419 2.542 1.663
0.000 2.278 5.788
2.419 0.000 0.000
```

## Properties
Offset from the most stable computed form, meV per atom: 171

17.
A plane-wave DFT calculation with PBE was carried out for crystalline AcHo5Tl6 at its relaxed geometry.

```
AcHo5Tl6
1.0
-4.431 -1.226 -2.961
3.472 2.555 -6.254
3.488 -8.169 3.212
Ho Tl Ac
5 6 1
Cartesian
-1.241 -3.044 -1.933
1.996 -4.978 -0.926
0.533 -1.862 -5.077
1.736 1.277 -3.127
3.770 -3.796 -4.070
0.316 1.250 -6.040
3.609 -0.704 -5.110
-1.275 0.079 -3.175
-1.080 -6.136 -0.893
0.586 -4.910 -3.894
1.943 -1.930 -2.109
0.000 0.000 0.000
```

18.
A plane-wave DFT calculation with PBE was carried out for crystalline AcHo6Tl12 at its relaxed geometry.

```
AcHo6Tl12
1.0
8.811 -0.127 -0.179
-2.307 8.505 -0.179
-2.307 -2.972 7.970
Tl Ho Ac
12 6 1
Cartesian
6.432 -0.662 3.806
-0.469 2.036 2.867
2.108 2.715 6.620
2.098 7.177 0.629
2.098 -1.771 6.983
-2.236 6.067 3.806
-2.236 1.594 6.983
4.666 3.369 4.745
2.089 2.691 0.992
2.089 0.050 2.867
6.432 3.812 0.629
2.108 5.355 4.745
3.919 0.239 5.430
3.919 5.048 2.015
4.936 1.550 2.182
-0.740 3.856 5.430
0.278 5.166 2.182
0.278 0.357 5.597
0.000 0.000 0.000
```

19.
A plane-wave DFT calculation with PBE was carried out for crystalline Ac2HoTl at its relaxed geometry.

```
Ac2HoTl
1.0
3.974 0.000 0.000
0.000 3.974 0.000
0.000 0.000 9.446
Tl Ac Ho
1 2 1
Cartesian
1.987 1.987 0.000
0.000 0.000 2.218
0.000 0.000 7.228
1.987 1.987 4.723
```

## Properties
Offset from the most stable computed form, meV per atom: 0

20.
A plane-wave DFT calculation with PBE was carried out for crystalline AcHo2Tl at its relaxed geometry.

```
AcHo2Tl
1.0
-3.511 1.158 -0.499
-0.663 -2.951 -2.184
-2.654 -4.867 7.380
Tl Ac Ho
1 1 2
Cartesian
-2.087 -0.896 -1.342
-3.414 -3.330 2.349
-0.568 -1.041 1.579
-2.086 -3.825 5.802
```

## Properties
Offset from the most stable computed form, meV per atom: 0

no.,E_form (eV/atom)
1,-0.26
2,-0.25
3,-0.35
4,-0.33
5,-0.15
6,-0.28
7,-0.33
8,-0.02
9,-0.21
10,-0.25
11,-0.09
12,0.03
13,-0.27
14,-0.04
15,0.07
16,-0.17
17,-0.31
18,-0.07
19,-0.10
20,-0.14